1.
First-principles (GGA-PBE) data for a geometry-optimized RbTbTe4Au3 structure, as listed in OQMD.

Structure (POSCAR):
```
RbTbTe4Au3
1.0
6.4847 0.0000 0.0000
0.0000 8.1527 0.0000
-3.0781 0.0000 10.7707
Rb Au Te Tb
2 6 8 2
Direct
0.2647 0.7500 0.0812
0.7353 0.2500 0.9188
0.8001 0.5589 0.5211
0.1999 0.0589 0.4789
0.0923 0.2500 0.2413
0.9077 0.7500 0.7587
0.8001 0.9411 0.5211
0.1999 0.4411 0.4789
0.1279 0.4677 0.7301
0.5568 0.2500 0.5774
0.1279 0.0323 0.7301
0.8721 0.5323 0.2699
0.6950 0.7500 0.9334
0.8721 0.9677 0.2699
0.4432 0.7500 0.4226
0.3050 0.2500 0.0666
0.6132 0.2500 0.3170
0.3868 0.7500 0.6830
```

Computed properties:
- Size of the total moment: 0.00 μB/f.u.
- E: -3.667 eV per atom
- ρ: 7.85 Mg/m³


2.
First-principles (GGA-PBE) data for a geometry-optimized SiBiW4C2 structure, as listed in OQMD.

Structure (POSCAR):
```
SiBiW4C2
1.0
-2.1747 1.3793 -1.8978
2.5122 -1.5106 -1.2806
-6.9496 -11.3285 -0.2699
Bi W C Si
1 4 2 1
Direct
0.0000 0.0000 0.0000
0.0000 0.0000 0.3655
0.6667 0.3333 0.1974
0.0000 0.0000 0.6345
0.6667 0.3333 0.8026
0.3333 0.6667 0.7279
0.3333 0.6667 0.2721
0.6667 0.3333 0.5000
```

Computed properties:
- Size of the total moment: 0.01 μB/f.u.
- E: -9.674 eV per atom
- ρ: 14.05 Mg/m³


3.
First-principles (GGA-PBE) data for a geometry-optimized AgTeAuO structure, as listed in OQMD.

Structure (POSCAR):
```
AgTeAuO
1.0
-1.0806 -2.0540 2.8216
5.7735 -4.5041 -1.0677
3.2575 3.3089 3.6563
Ag Te O Au
2 2 2 2
Direct
0.0000 0.8433 0.7163
0.0000 0.1567 0.2163
0.0000 0.5459 0.1746
0.0000 0.4541 0.6746
0.5000 0.0819 0.0057
0.5000 0.9181 0.5057
0.5000 0.8090 0.0943
0.5000 0.1910 0.5943
```

Computed properties:
- E: -3.430 eV per atom
- ρ: 9.32 Mg/m³